Entry 1:
PBE DyErNi2, optimized geometry; crystal system = orthorhombic; VASP energy = -5.552 eV/atom; magnetization = 0.000 μB/atom
1.0
4.1621 0.0000 0.0000
0.0000 5.3998 0.0000
0.0000 0.0000 7.0159
Dy Er Ni
2 2 4
Cartesian
0.0000 0.6457 0.0000
0.0000 4.7541 3.5079
2.0810 2.0574 4.4924
2.0810 3.3424 0.9845
0.0000 2.0287 2.5139
0.0000 3.3711 6.0218
2.0810 0.6763 1.9831
2.0810 4.7235 5.4911

***

Entry 2:
PBE DyErNi2, optimized geometry; crystal system = monoclinic; VASP energy = -5.552 eV/atom; magnetization = 0.000 μB/atom
1.0
5.3978 0.0000 0.0000
0.0000 4.1616 0.0000
-0.0027 0.0000 7.0220
Dy Er Ni
2 2 4
Cartesian
0.7020 1.0404 1.2625
4.6931 3.1212 5.7594
1.9949 1.0404 4.7726
3.4002 3.1212 2.2494
0.6717 3.1212 3.2447
2.0240 3.1212 6.7551
3.3711 1.0404 0.2668
4.7234 1.0404 3.7773

***

Entry 3:
PBE DyEr2Ni2, optimized geometry; crystal system = monoclinic; VASP energy = -5.368 eV/atom; magnetization = 0.036 μB/atom
1.0
6.6083 -1.8132 0.0000
6.6083 1.8132 0.0000
-2.5032 0.0000 9.1118
Dy Er Ni
2 4 4
Cartesian
0.9837 0.0000 3.3552
9.7298 0.0000 5.7566
-0.7560 0.0000 9.0872
4.5100 0.0000 2.9785
6.2034 0.0000 6.1332
11.4695 0.0000 0.0246
1.4446 0.0000 7.0448
4.0073 0.0000 7.7976
6.7061 0.0000 1.3142
9.2689 0.0000 2.0670

***

Entry 4:
PBE Dy2ErNiSn3Pt2, optimized geometry; crystal system = orthorhombic; VASP energy = -5.815 eV/atom; magnetization = 0.000 μB/atom
1.0
3.9102 0.0000 0.0000
0.0000 6.4879 3.7537
0.0000 -6.4879 3.7537
Dy Er Ni Sn Pt
2 1 1 3 2
Cartesian
0.0000 -3.8595 3.7537
0.0000 3.8595 3.7537
0.0000 0.0000 2.9484
0.0000 0.0000 5.9810
1.9551 0.0000 0.3497
1.9551 -1.6133 5.0492
1.9551 1.6133 5.0492
1.9551 -2.1504 2.2368
1.9551 2.1504 2.2368